1.
First-principles (PBE) data for an optimized crystal structure of PmNdCd, as listed in Alexandria via LeMat-Bulk.

Structure (CIF):
```
data_PmNdCd
_space_group_name_H-M_alt 'P 1'
_space_group_IT_number 1
_space_group_name_Hall 'P 1'
_cell_length_a 3.646
_cell_length_b 5.353
_cell_length_c 5.353
_cell_angle_alpha 120.00
_cell_angle_beta 90.00
_cell_angle_gamma 90.00
loop_
_atom_site_label
_atom_site_type_symbol
_atom_site_fract_x
_atom_site_fract_y
_atom_site_fract_z
_atom_site_occupancy
Cd1 Cd 0.671 0.667 0.333 1
Nd1 Nd 0.374 0.333 0.667 1
Pm1 Pm 0.955 0.000 0.000 1
```

Values from the calculation:
E_form: -89 meV per atom


2.
First-principles (PBE) data for an optimized crystal structure of Pm12Nd3Cd, as listed in Alexandria via LeMat-Bulk.

Structure (CIF):
```
data_Pm12Nd3Cd
_space_group_name_H-M_alt 'P 1'
_space_group_IT_number 1
_space_group_name_Hall 'P 1'
_cell_length_a 5.107
_cell_length_b 5.107
_cell_length_c 20.613
_cell_angle_alpha 90.00
_cell_angle_beta 90.00
_cell_angle_gamma 90.00
loop_
_atom_site_label
_atom_site_type_symbol
_atom_site_fract_x
_atom_site_fract_y
_atom_site_fract_z
_atom_site_occupancy
Pm1 Pm 0.500 0.000 0.880 1
Pm2 Pm 0.500 0.000 0.120 1
Pm3 Pm 0.000 0.500 0.120 1
Pm4 Pm 0.000 0.500 0.373 1
Pm5 Pm 0.500 0.500 0.000 1
Pm6 Pm 0.000 0.500 0.880 1
Pm7 Pm 0.500 0.000 0.627 1
Pm8 Pm 0.500 0.500 0.500 1
Pm9 Pm 0.000 0.500 0.627 1
Pm10 Pm 0.500 0.500 0.244 1
Pm11 Pm 0.500 0.500 0.756 1
Pm12 Pm 0.500 0.000 0.373 1
Nd1 Nd 0.000 0.000 0.754 1
Nd2 Nd 0.000 0.000 0.500 1
Nd3 Nd 0.000 0.000 0.246 1
Cd1 Cd 0.000 0.000 0.000 1
```

Values from the calculation:
E_form: -7 meV per atom


3.
First-principles (PBE) data for an optimized crystal structure of PmNd8Cd6, as listed in Alexandria via LeMat-Bulk.

Structure (CIF):
```
data_PmNd8Cd6
_space_group_name_H-M_alt 'P 1'
_space_group_IT_number 1
_space_group_name_Hall 'P 1'
_cell_length_a 9.224
_cell_length_b 9.224
_cell_length_c 8.447
_cell_angle_alpha 56.91
_cell_angle_beta 56.91
_cell_angle_gamma 60.00
loop_
_atom_site_label
_atom_site_type_symbol
_atom_site_fract_x
_atom_site_fract_y
_atom_site_fract_z
_atom_site_occupancy
Nd1 Nd 0.883 0.547 0.354 1
Nd2 Nd 0.666 0.666 0.001 1
Nd3 Nd 0.216 0.883 0.354 1
Nd4 Nd 0.784 0.117 0.646 1
Nd5 Nd 0.453 0.784 0.646 1
Nd6 Nd 0.334 0.334 0.999 1
Nd7 Nd 0.117 0.453 0.646 1
Nd8 Nd 0.547 0.216 0.354 1
Cd1 Cd 0.718 0.381 0.852 1
Cd2 Cd 0.049 0.718 0.852 1
Cd3 Cd 0.282 0.619 0.148 1
Cd4 Cd 0.381 0.049 0.852 1
Cd5 Cd 0.619 0.951 0.148 1
Cd6 Cd 0.951 0.282 0.148 1
Pm1 Pm 0.000 0.000 0.000 1
```

Values from the calculation:
E_form: -93 meV per atom


4.
First-principles (PBE) data for an optimized crystal structure of Pm2NdCd, as listed in Alexandria via LeMat-Bulk.

Structure (CIF):
```
data_Pm2NdCd
_space_group_name_H-M_alt 'P 1'
_space_group_IT_number 1
_space_group_name_Hall 'P 1'
_cell_length_a 5.581
_cell_length_b 5.581
_cell_length_c 5.581
_cell_angle_alpha 60.00
_cell_angle_beta 60.00
_cell_angle_gamma 60.00
loop_
_atom_site_label
_atom_site_type_symbol
_atom_site_fract_x
_atom_site_fract_y
_atom_site_fract_z
_atom_site_occupancy
Pm1 Pm 0.250 0.250 0.250 1
Pm2 Pm 0.750 0.750 0.750 1
Nd1 Nd 0.000 0.000 0.000 1
Cd1 Cd 0.500 0.500 0.500 1
```

Values from the calculation:
E_form: -18 meV per atom


5.
First-principles (PBE) data for an optimized crystal structure of Pm4Nd9Cd11, as listed in Alexandria via LeMat-Bulk.

Structure (CIF):
```
data_Pm4Nd9Cd11
_space_group_name_H-M_alt 'P 1'
_space_group_IT_number 1
_space_group_name_Hall 'P 1'
_cell_length_a 3.664
_cell_length_b 14.207
_cell_length_c 14.207
_cell_angle_alpha 110.63
_cell_angle_beta 90.00
_cell_angle_gamma 90.00
loop_
_atom_site_label
_atom_site_type_symbol
_atom_site_fract_x
_atom_site_fract_y
_atom_site_fract_z
_atom_site_occupancy
Cd1 Cd 0.000 0.949 0.588 1
Cd2 Cd 0.000 0.177 0.823 1
Cd3 Cd 0.000 0.226 0.226 1
Cd4 Cd 0.000 0.000 0.000 1
Cd5 Cd 0.000 0.412 0.051 1
Cd6 Cd 0.000 0.774 0.774 1
Cd7 Cd 0.000 0.051 0.412 1
Cd8 Cd 0.000 0.368 0.632 1
Cd9 Cd 0.000 0.632 0.368 1
Cd10 Cd 0.000 0.823 0.177 1
Cd11 Cd 0.000 0.588 0.949 1
Pm1 Pm 0.500 0.252 0.427 1
Pm2 Pm 0.500 0.573 0.748 1
Pm3 Pm 0.500 0.748 0.573 1
Pm4 Pm 0.500 0.427 0.252 1
Nd1 Nd 0.500 0.207 0.025 1
Nd2 Nd 0.500 0.975 0.793 1
Nd3 Nd 0.500 0.793 0.975 1
Nd4 Nd 0.500 0.381 0.848 1
Nd5 Nd 0.500 0.848 0.381 1
Nd6 Nd 0.500 0.152 0.619 1
Nd7 Nd 0.500 0.619 0.152 1
Nd8 Nd 0.500 0.025 0.207 1
Nd9 Nd 0.500 0.500 0.500 1
```

Values from the calculation:
E_form: -250 meV per atom


6.
First-principles (PBE) data for an optimized crystal structure of Pm8NdCd6, as listed in Alexandria via LeMat-Bulk.

Structure (CIF):
```
data_Pm8NdCd6
_space_group_name_H-M_alt 'P 1'
_space_group_IT_number 1
_space_group_name_Hall 'P 1'
_cell_length_a 9.187
_cell_length_b 9.187
_cell_length_c 8.400
_cell_angle_alpha 56.85
_cell_angle_beta 56.85
_cell_angle_gamma 60.00
loop_
_atom_site_label
_atom_site_type_symbol
_atom_site_fract_x
_atom_site_fract_y
_atom_site_fract_z
_atom_site_occupancy
Cd1 Cd 0.950 0.285 0.150 1
Cd2 Cd 0.050 0.715 0.850 1
Cd3 Cd 0.715 0.384 0.850 1
Cd4 Cd 0.384 0.050 0.850 1
Cd5 Cd 0.285 0.616 0.150 1
Cd6 Cd 0.616 0.950 0.150 1
Nd1 Nd 0.000 0.000 0.000 1
Pm1 Pm 0.118 0.450 0.647 1
Pm2 Pm 0.550 0.215 0.353 1
Pm3 Pm 0.450 0.785 0.647 1
Pm4 Pm 0.785 0.118 0.647 1
Pm5 Pm 0.333 0.333 0.000 1
Pm6 Pm 0.667 0.667 0.000 1
Pm7 Pm 0.215 0.882 0.353 1
Pm8 Pm 0.882 0.550 0.353 1
```

Values from the calculation:
E_form: -88 meV per atom


7.
First-principles (PBE) data for an optimized crystal structure of Pm2NdCd, as listed in Alexandria via LeMat-Bulk.

Structure (CIF):
```
data_Pm2NdCd
_space_group_name_H-M_alt 'P 1'
_space_group_IT_number 1
_space_group_name_Hall 'P 1'
_cell_length_a 3.677
_cell_length_b 3.677
_cell_length_c 11.289
_cell_angle_alpha 80.63
_cell_angle_beta 80.63
_cell_angle_gamma 60.00
loop_
_atom_site_label
_atom_site_type_symbol
_atom_site_fract_x
_atom_site_fract_y
_atom_site_fract_z
_atom_site_occupancy
Nd1 Nd 0.500 0.500 0.501 1
Cd1 Cd 0.667 0.667 0.000 1
Pm1 Pm 0.077 0.077 0.770 1
Pm2 Pm 0.257 0.257 0.229 1
```

Values from the calculation:
E_form: -55 meV per atom


8.
First-principles (PBE) data for an optimized crystal structure of Pm6Nd12Cd, as listed in Alexandria via LeMat-Bulk.

Structure (CIF):
```
data_Pm6Nd12Cd
_space_group_name_H-M_alt 'P 1'
_space_group_IT_number 1
_space_group_name_Hall 'P 1'
_cell_length_a 8.707
_cell_length_b 8.707
_cell_length_c 8.707
_cell_angle_alpha 88.88
_cell_angle_beta 88.88
_cell_angle_gamma 88.88
loop_
_atom_site_label
_atom_site_type_symbol
_atom_site_fract_x
_atom_site_fract_y
_atom_site_fract_z
_atom_site_occupancy
Nd1 Nd 0.216 0.465 0.567 1
Nd2 Nd 0.363 0.019 0.178 1
Nd3 Nd 0.567 0.216 0.465 1
Nd4 Nd 0.784 0.535 0.433 1
Nd5 Nd 0.637 0.981 0.822 1
Nd6 Nd 0.465 0.567 0.216 1
Nd7 Nd 0.981 0.822 0.637 1
Nd8 Nd 0.019 0.178 0.363 1
Nd9 Nd 0.178 0.363 0.019 1
Nd10 Nd 0.535 0.433 0.784 1
Nd11 Nd 0.822 0.637 0.981 1
Nd12 Nd 0.433 0.784 0.535 1
Pm1 Pm 0.740 0.902 0.290 1
Pm2 Pm 0.902 0.290 0.740 1
Pm3 Pm 0.290 0.740 0.902 1
Pm4 Pm 0.260 0.098 0.710 1
Pm5 Pm 0.710 0.260 0.098 1
Pm6 Pm 0.098 0.710 0.260 1
Cd1 Cd 0.000 0.000 0.000 1
```

Values from the calculation:
E_form: 87 meV per atom


9.
First-principles (PBE) data for an optimized crystal structure of Pm3Nd2Cd4, as listed in Alexandria via LeMat-Bulk.

Structure (CIF):
```
data_Pm3Nd2Cd4
_space_group_name_H-M_alt 'P 1'
_space_group_IT_number 1
_space_group_name_Hall 'P 1'
_cell_length_a 6.868
_cell_length_b 8.337
_cell_length_c 10.149
_cell_angle_alpha 90.00
_cell_angle_beta 109.78
_cell_angle_gamma 90.00
loop_
_atom_site_label
_atom_site_type_symbol
_atom_site_fract_x
_atom_site_fract_y
_atom_site_fract_z
_atom_site_occupancy
Pm1 Pm 0.497 0.250 0.495 1
Pm2 Pm 0.000 0.000 0.000 1
Pm3 Pm 0.503 0.750 0.505 1
Pm4 Pm 0.997 0.250 0.495 1
Pm5 Pm 0.003 0.750 0.505 1
Pm6 Pm 0.500 0.500 0.000 1
Cd1 Cd 0.660 0.513 0.320 1
Cd2 Cd 0.327 0.250 0.154 1
Cd3 Cd 0.827 0.250 0.154 1
Cd4 Cd 0.340 0.487 0.680 1
Cd5 Cd 0.673 0.750 0.846 1
Cd6 Cd 0.160 0.987 0.320 1
Cd7 Cd 0.173 0.750 0.846 1
Cd8 Cd 0.840 0.013 0.680 1
Nd1 Nd 0.409 0.098 0.818 1
Nd2 Nd 0.591 0.902 0.182 1
Nd3 Nd 0.091 0.598 0.182 1
Nd4 Nd 0.909 0.402 0.818 1
```

Values from the calculation:
E_form: -151 meV per atom


10.
First-principles (PBE) data for an optimized crystal structure of Pm5Nd5Cd2, as listed in Alexandria via LeMat-Bulk.

Structure (CIF):
```
data_Pm5Nd5Cd2
_space_group_name_H-M_alt 'P 1'
_space_group_IT_number 1
_space_group_name_Hall 'P 1'
_cell_length_a 5.585
_cell_length_b 6.798
_cell_length_c 11.360
_cell_angle_alpha 89.94
_cell_angle_beta 90.00
_cell_angle_gamma 114.25
loop_
_atom_site_label
_atom_site_type_symbol
_atom_site_fract_x
_atom_site_fract_y
_atom_site_fract_z
_atom_site_occupancy
Pm1 Pm 0.817 0.635 0.749 1
Pm2 Pm 0.681 0.363 0.465 1
Pm3 Pm 0.183 0.365 0.251 1
Pm4 Pm 0.000 0.000 0.000 1
Pm5 Pm 0.319 0.637 0.535 1
Nd1 Nd 0.319 0.639 0.966 1
Nd2 Nd 0.479 0.959 0.251 1
Nd3 Nd 0.521 0.041 0.749 1
Nd4 Nd 0.000 0.000 0.500 1
Nd5 Nd 0.681 0.361 0.034 1
Cd1 Cd 0.148 0.295 0.750 1
Cd2 Cd 0.852 0.705 0.250 1
```

Values from the calculation:
E_form: -66 meV per atom


11.
First-principles (PBE) data for an optimized crystal structure of Pm6Nd12Cd, as listed in Alexandria via LeMat-Bulk.

Structure (CIF):
```
data_Pm6Nd12Cd
_space_group_name_H-M_alt 'P 1'
_space_group_IT_number 1
_space_group_name_Hall 'P 1'
_cell_length_a 8.842
_cell_length_b 8.842
_cell_length_c 8.842
_cell_angle_alpha 97.56
_cell_angle_beta 97.56
_cell_angle_gamma 97.56
loop_
_atom_site_label
_atom_site_type_symbol
_atom_site_fract_x
_atom_site_fract_y
_atom_site_fract_z
_atom_site_occupancy
Nd1 Nd 0.581 0.581 0.171 1
Nd2 Nd 0.829 0.419 0.419 1
Nd3 Nd 0.740 0.260 0.001 1
Nd4 Nd 0.260 0.001 0.740 1
Nd5 Nd 0.740 0.999 0.260 1
Nd6 Nd 0.171 0.581 0.581 1
Nd7 Nd 0.419 0.829 0.419 1
Nd8 Nd 0.001 0.740 0.260 1
Nd9 Nd 0.419 0.419 0.829 1
Nd10 Nd 0.999 0.260 0.740 1
Nd11 Nd 0.260 0.740 0.999 1
Nd12 Nd 0.581 0.171 0.581 1
Cd1 Cd 0.000 0.000 0.000 1
Pm1 Pm 0.864 0.594 0.865 1
Pm2 Pm 0.865 0.864 0.594 1
Pm3 Pm 0.136 0.406 0.135 1
Pm4 Pm 0.135 0.136 0.406 1
Pm5 Pm 0.594 0.865 0.864 1
Pm6 Pm 0.406 0.135 0.136 1
```

Values from the calculation:
E_form: 105 meV per atom


12.
First-principles (PBE) data for an optimized crystal structure of Pm7NdCd2, as listed in Alexandria via LeMat-Bulk.

Structure (CIF):
```
data_Pm7NdCd2
_space_group_name_H-M_alt 'P 1'
_space_group_IT_number 1
_space_group_name_Hall 'P 1'
_cell_length_a 5.415
_cell_length_b 9.186
_cell_length_c 9.186
_cell_angle_alpha 120.54
_cell_angle_beta 90.00
_cell_angle_gamma 90.00
loop_
_atom_site_label
_atom_site_type_symbol
_atom_site_fract_x
_atom_site_fract_y
_atom_site_fract_z
_atom_site_occupancy
Cd1 Cd 0.500 0.696 0.304 1
Cd2 Cd 0.500 0.304 0.696 1
Pm1 Pm 0.500 0.064 0.301 1
Pm2 Pm 0.000 0.773 0.227 1
Pm3 Pm 0.000 0.227 0.773 1
Pm4 Pm 0.500 0.500 0.500 1
Pm5 Pm 0.500 0.699 0.936 1
Pm6 Pm 0.500 0.936 0.699 1
Pm7 Pm 0.500 0.301 0.064 1
Nd1 Nd 0.000 0.000 0.000 1
```

Values from the calculation:
E_form: 378 meV per atom